(1)
DyAl2Zn8Cu PBE-GGA optimized geometry; theoretical density = 6.56 g cm⁻³; total magnetization = 0.00 μB/atom; density of states at the Fermi level = 0.25 states/eV/atom; E_form = -0.736 eV per formula unit; V = 203 Å³/cell
1.0
-3.3336 -3.1132 -1.1776
1.5571 -4.1263 -1.6554
0.3448 -2.9404 9.7639
Zn Cu Dy Al
8 1 1 2
direct
0.3196 0.3196 0.3884 Zn
0.3252 0.8340 0.8064 Zn
0.6687 0.6687 0.0383 Zn
0.6748 0.1660 0.1936 Zn
0.3313 0.3313 0.9617 Zn
0.1660 0.6748 0.1936 Zn
0.6804 0.6804 0.6116 Zn
0.8340 0.3252 0.8064 Zn
0.0000 0.0000 0.0000 Cu
0.0000 0.0000 0.5000 Dy
0.3348 0.3348 0.6645 Al
0.6652 0.6652 0.3355 Al



(2)
Dy4AlZn2Cu PBE-GGA optimized geometry; theoretical density = 8.05 g cm⁻³; total magnetization = 0.00 μB/atom; density of states at the Fermi level = 0.81 states/eV/atom; E_form = -2.619 eV per formula unit; V = 180 Å³/cell
1.0
5.0256 0.0000 0.0000
2.5128 4.3523 0.0000
2.5128 1.4508 8.2164
Dy Zn Al Cu
4 2 1 1
direct
0.1276 0.1276 0.6171 Dy
0.6220 0.6220 0.1341 Dy
0.3780 0.3780 0.8659 Dy
0.8724 0.8724 0.3829 Dy
0.2537 0.2537 0.2388 Zn
0.7463 0.7463 0.7612 Zn
0.0000 0.0000 0.0000 Al
0.5000 0.5000 0.5000 Cu



(3)
Dy2Al4Zn3Cu PBE-GGA optimized geometry; theoretical density = 6.29 g cm⁻³; total magnetization = 0.00 μB/atom; density of states at the Fermi level = 0.51 states/eV/atom; E_form = -3.724 eV per formula unit; V = 183 Å³/cell
1.0
4.1590 0.0000 0.0000
0.0000 4.1590 0.0000
0.0000 0.0000 10.5756
Dy Cu Al Zn
2 1 4 3
direct
0.0000 0.5000 0.7453 Dy
0.5000 0.0000 0.2547 Dy
0.5000 0.5000 0.5000 Cu
0.5000 0.5000 0.0000 Al
0.0000 0.5000 0.3725 Al
0.0000 0.0000 0.0000 Al
0.5000 0.0000 0.6275 Al
0.0000 0.5000 0.1425 Zn
0.5000 0.0000 0.8575 Zn
0.0000 0.0000 0.5000 Zn



(4)
Dy2AlZn4Cu3 PBE-GGA optimized geometry; theoretical density = 7.67 g cm⁻³; total magnetization = 0.00 μB/atom; density of states at the Fermi level = 0.35 states/eV/atom; E_form = -2.929 eV per formula unit; V = 174 Å³/cell
1.0
-3.5523 1.0533 -1.3750
-1.7196 -2.5197 2.5126
-0.5838 8.0564 7.6795
Zn Cu Dy Al
4 3 2 1
direct
0.0000 0.5000 0.3567 Zn
0.0000 0.0000 0.0000 Zn
0.5000 0.0000 0.6433 Zn
0.5000 0.5000 0.0000 Zn
0.5000 0.0000 0.8599 Cu
0.0000 0.5000 0.1401 Cu
0.0000 0.0000 0.5000 Cu
0.0000 0.5000 0.7553 Dy
0.5000 0.0000 0.2447 Dy
0.5000 0.5000 0.5000 Al



(5)
DyAlZn4Cu2 PBE-GGA optimized geometry; theoretical density = 7.24 g cm⁻³; total magnetization = 0.00 μB/atom; density of states at the Fermi level = 0.38 states/eV/atom; E_form = -1.085 eV per formula unit; V = 133 Å³/cell
1.0
-3.6835 -1.9127 -0.5863
-1.0210 -3.3381 2.3205
-5.2316 3.4886 6.5025
Cu Zn Dy Al
2 4 1 1
direct
0.2376 0.2376 0.2873 Cu
0.7624 0.7624 0.7127 Cu
0.8777 0.8777 0.3670 Zn
0.1223 0.1223 0.6330 Zn
0.3991 0.3991 0.8026 Zn
0.6009 0.6009 0.1974 Zn
0.0000 0.0000 0.0000 Dy
0.5000 0.5000 0.5000 Al



(6)
DyZrAlCu PBE-GGA optimized geometry; theoretical density = 6.97 g cm⁻³; total magnetization = 0.09 μB/atom; density of states at the Fermi level = 1.29 states/eV/atom; E_form = -0.802 eV per formula unit; V = 82 Å³/cell
1.0
4.8766 0.0000 0.0000
2.4383 4.2233 0.0000
2.4383 1.4078 3.9817
Zr Al Dy Cu
1 1 1 1
direct
0.7500 0.7500 0.7500 Zr
0.0000 0.0000 0.0000 Al
0.2500 0.2500 0.2500 Dy
0.5000 0.5000 0.5000 Cu



Which value of E_form does entry 5 give?
-1.085 eV per formula unit



Among the records above, which one has the highest total magnetization?
DyZrAlCu